# Tb2YSc, optimized geometry, DFT GGA-PBE
# - Magnetization: 0.00 μB per formula unit
# - ΔE_f: 0.184 eV/f.u.
# - Energy relative to the lowest polymorph listed for this composition: 0.010 eV/atom
# - ρ: 6.25 g/cm3
# - Raw total energy: -65.62 eV per cell
data_Tb2YSc
_chemical_formula_sum 'Tb6 Y3 Sc3'
_space_group_name_H-M_alt 'R -3 m'
_space_group_IT_number 166
_space_group_name_Hall '-R 3 2"'
_cell_length_a 3.5019
_cell_length_b 3.5019
_cell_length_c 33.8819
_cell_angle_alpha 90.00
_cell_angle_beta 90.00
_cell_angle_gamma 120.00
loop_
_atom_site_label
_atom_site_fract_x
_atom_site_fract_y
_atom_site_fract_z
Tb1 0.0000 0.0000 0.2466
Y1 0.0000 0.0000 0.0000
Sc1 0.0000 0.0000 0.5000

# CsRb2Na2, optimized geometry, DFT GGA-PBE
# - Magnetization: 0.00 μB per formula unit
# - ΔE_f: 0.209 eV/f.u.
# - Energy relative to the lowest polymorph listed for this composition: 0.012 eV/atom
# - ρ: 1.66 g/cm3
# - Raw total energy: -10.44 eV per cell
data_CsRb2Na2
_chemical_formula_sum 'Cs2 Rb4 Na4'
_space_group_name_H-M_alt 'P 4/m b m'
_space_group_IT_number 127
_space_group_name_Hall '-P 4 2ab'
_cell_length_a 12.196
_cell_length_b 12.196
_cell_length_c 4.714
_cell_angle_alpha 90.00
_cell_angle_beta 90.00
_cell_angle_gamma 90.00
loop_
_atom_site_label
_atom_site_fract_x
_atom_site_fract_y
_atom_site_fract_z
Cs1 0.000 0.000 0.000
Rb1 0.132 0.368 0.000
Na1 0.166 0.666 0.500

# Li4ZnP2S8, optimized geometry, DFT GGA-PBE
# - Magnetization: 0.00 μB per formula unit
# - E_form (uncorrected): -11.91 eV/f.u.
# - ρ: 2.18 g/cm3
# - Raw total energy: -129.35 eV per cell
data_Li4ZnP2S8
_chemical_formula_sum 'Li8 Zn2 P4 S16'
_space_group_name_H-M_alt 'P 1 21 1'
_space_group_IT_number 4
_space_group_name_Hall 'P 2yb'
_cell_length_a 5.770
_cell_length_b 9.465
_cell_length_c 11.507
_cell_angle_alpha 90.00
_cell_angle_beta 90.05
_cell_angle_gamma 90.00
loop_
_atom_site_label
_atom_site_fract_x
_atom_site_fract_y
_atom_site_fract_z
Li1 0.244 0.000 0.375
Li2 0.250 0.999 0.875
Li3 0.252 0.751 0.117
Li4 0.253 0.507 0.872
Zn1 0.252 0.491 0.376
P1 0.239 0.251 0.124
P2 0.262 0.246 0.625
S1 0.031 0.128 0.728
S2 0.036 0.134 0.230
S3 0.037 0.374 0.016
S4 0.047 0.359 0.516
S5 0.455 0.372 0.229
S6 0.459 0.133 0.019
S7 0.464 0.364 0.734
S8 0.472 0.126 0.520